Entry 1:
Density functional theory data (PBE) for an optimized crystal structure of Tc2IrOs2. Values from VASP.

SG: P4/mbm
Energy relative to the elements, eV/atom: 0.317
Total moment, μB per formula unit: 0.0
Calculated total energy, eV/atom: -10.093

Quantum ESPRESSO input file:
```
&SYSTEM
  ibrav = 0, nat = 10, ntyp = 3
/
ATOMIC_SPECIES
Tc 98.00 Tc.upf
Ir 192.22 Ir.upf
Os 190.23 Os.upf
ATOMIC_POSITIONS crystal
Tc 0.125 0.375 0.000
Tc 0.375 0.875 0.000
Tc 0.625 0.125 0.000
Tc 0.875 0.625 0.000
Ir 0.000 0.000 0.000
Ir 0.500 0.500 0.000
Os 0.170 0.670 0.500
Os 0.330 0.170 0.500
Os 0.670 0.830 0.500
Os 0.830 0.330 0.500
CELL_PARAMETERS angstrom
7.392 0.000 0.000
0.000 7.392 0.000
0.000 0.000 2.774
```

Entry 2:
Density functional theory data (PBE) for an optimized crystal structure of Y2Er3Te2. Values from VASP.

Raw formation energy, eV per atom: -0.70
SG: C2/m
Total moment, μB per formula unit: 0.0
Calculated total energy, eV/atom: -5.400

Quantum ESPRESSO input file:
```
&SYSTEM
  ibrav = 0, nat = 7, ntyp = 3
/
ATOMIC_SPECIES
Y 88.91 Y.upf
Er 167.26 Er.upf
Te 127.60 Te.upf
ATOMIC_POSITIONS crystal
Y 0.138 0.138 0.299
Y 0.862 0.862 0.701
Er 0.383 0.383 0.057
Er 0.500 0.500 0.500
Er 0.617 0.617 0.943
Te 0.180 0.180 0.707
Te 0.820 0.820 0.293
CELL_PARAMETERS angstrom
6.498 -1.981 0.000
6.498 1.981 0.000
-3.165 0.000 7.873
```

Entry 3:
Density functional theory data (PBE) for an optimized crystal structure of AlP2Se. Values from VASP.

Raw formation energy, eV per atom: -0.08
SG: I4/mmm
Total moment, μB per formula unit: 0.0
Calculated total energy, eV/atom: -4.588

Quantum ESPRESSO input file:
```
&SYSTEM
  ibrav = 0, nat = 4, ntyp = 3
/
ATOMIC_SPECIES
Al 26.98 Al.upf
P 30.97 P.upf
Se 78.96 Se.upf
ATOMIC_POSITIONS crystal
Al 0.000 0.000 0.000
P 0.000 0.500 0.500
P 0.500 0.000 0.500
Se 0.500 0.500 0.000
CELL_PARAMETERS angstrom
-2.582 2.582 2.619
2.582 -2.582 2.619
2.582 2.582 -2.619
```

Entry 4:
Density functional theory data (PBE) for an optimized crystal structure of Sm3Cu2Pd. Values from VASP.

SG: Pnma
Energy relative to the elements, eV/atom: -0.341
Total moment, μB per formula unit: 0.0
Calculated total energy, eV/atom: -4.932

Quantum ESPRESSO input file:
```
&SYSTEM
  ibrav = 0, nat = 24, ntyp = 3
/
ATOMIC_SPECIES
Sm 150.36 Sm.upf
Cu 63.55 Cu.upf
Pd 106.42 Pd.upf
ATOMIC_POSITIONS crystal
Sm 0.050 0.250 0.125
Sm 0.114 0.750 0.567
Sm 0.219 0.250 0.805
Sm 0.281 0.750 0.305
Sm 0.386 0.250 0.067
Sm 0.450 0.750 0.625
Sm 0.550 0.250 0.375
Sm 0.614 0.750 0.933
Sm 0.719 0.250 0.695
Sm 0.781 0.750 0.195
Sm 0.886 0.250 0.433
Sm 0.950 0.750 0.875
Cu 0.017 0.750 0.306
Cu 0.193 0.750 0.016
Cu 0.307 0.250 0.516
Cu 0.483 0.250 0.806
Cu 0.517 0.750 0.194
Cu 0.693 0.750 0.484
Cu 0.807 0.250 0.984
Cu 0.983 0.250 0.694
Pd 0.128 0.250 0.379
Pd 0.372 0.750 0.879
Pd 0.628 0.250 0.121
Pd 0.872 0.750 0.621
CELL_PARAMETERS angstrom
11.835 0.000 0.000
0.000 4.415 0.000
0.000 0.000 10.987
```

Entry 5:
Density functional theory data (PBE) for an optimized crystal structure of KHoMgO3. Values from VASP.

Raw formation energy, eV per atom: -2.60
SG: P2_1/m
Total moment, μB per formula unit: 0.0
Calculated total energy, eV/atom: -6.293

Quantum ESPRESSO input file:
```
&SYSTEM
  ibrav = 0, nat = 12, ntyp = 4
/
ATOMIC_SPECIES
K 39.10 K.upf
Ho 164.93 Ho.upf
Mg 24.30 Mg.upf
O 16.00 O.upf
ATOMIC_POSITIONS crystal
K 0.041 0.250 0.341
K 0.959 0.750 0.659
Ho 0.462 0.750 0.640
Ho 0.538 0.250 0.360
Mg 0.425 0.250 0.886
Mg 0.575 0.750 0.114
O 0.266 0.250 0.670
O 0.352 0.750 0.390
O 0.446 0.250 0.100
O 0.554 0.750 0.900
O 0.648 0.250 0.610
O 0.734 0.750 0.330
CELL_PARAMETERS angstrom
7.231 0.000 0.000
0.000 3.530 0.000
-3.413 0.000 8.984
```

Entry 6:
Density functional theory data (PBE) for an optimized crystal structure of CdPRh2. Values from VASP.

SG: I-42d
Energy relative to the elements, eV/atom: -0.299
Total moment, μB per formula unit: 0.0
Calculated total energy, eV/atom: -5.556

Quantum ESPRESSO input file:
```
&SYSTEM
  ibrav = 0, nat = 8, ntyp = 3
/
ATOMIC_SPECIES
Cd 112.41 Cd.upf
P 30.97 P.upf
Rh 102.91 Rh.upf
ATOMIC_POSITIONS crystal
Cd 0.000 0.000 0.000
Cd 0.750 0.250 0.500
P 0.250 0.750 0.500
P 0.500 0.500 0.000
Rh 0.202 0.125 0.577
Rh 0.375 0.798 0.923
Rh 0.548 0.625 0.423
Rh 0.875 0.452 0.077
CELL_PARAMETERS angstrom
-3.431 3.431 2.851
3.431 -3.431 2.851
3.431 3.431 -2.851
```